1.
Below is FeMo2Ir9 after structural relaxation, with properties calculated at the PBE level.

Values from the calculation:
**Energy of formation**: -0.13 eV/atom
**Calculated volume**: 174 Å³/cell
**Total magnetic moment**: 0.12 μB/atom
**Space-group type**: P-1

Unit cell a=4.748 b=6.118 c=6.703 alpha=111.60 beta=90.04 gamma=104.85
Element x y z (fractional)
Fe 0.000 0.000 0.000
Mo 0.087 0.764 0.592
Mo 0.913 0.236 0.408
Ir 0.164 0.495 0.169
Ir 0.247 0.253 0.748
Ir 0.329 0.999 0.330
Ir 0.413 0.755 0.917
Ir 0.500 0.500 0.500
Ir 0.587 0.245 0.083
Ir 0.671 0.001 0.670
Ir 0.753 0.747 0.252
Ir 0.836 0.505 0.831

2.
Below is FeMo4Ir after structural relaxation, with properties calculated at the PBE level.

Values from the calculation:
**Energy of formation**: 0.39 eV/atom
**Calculated volume**: 95 Å³/cell
**Total magnetic moment**: 0.29 μB/atom
**Space-group type**: F-43m

Unit cell a=5.125 b=5.125 c=5.125 alpha=60.00 beta=60.00 gamma=60.00
Element x y z (fractional)
Fe 0.000 0.000 0.000
Mo 0.374 0.374 0.374
Mo 0.374 0.374 0.879
Mo 0.374 0.879 0.374
Mo 0.879 0.374 0.374
Ir 0.750 0.750 0.750

3.
Below is FeMoIr after structural relaxation, with properties calculated at the PBE level.

Values from the calculation:
**Relative energy among the computed polymorphs**: 0.1420 eV per atom
**Energy of formation**: 0.04 eV/atom
**Calculated volume**: 43 Å³/cell
**Total magnetic moment**: 0.89 μB/atom
**Space-group type**: I4mm

Unit cell a=4.849 b=4.849 c=4.849 alpha=142.17 beta=142.17 gamma=54.57
Element x y z (fractional)
Fe 0.000 0.000 0.000
Mo 0.343 0.343 0.000
Ir 0.663 0.663 0.000

4.
Below is Fe2MoIrN after structural relaxation, with properties calculated at the PBE level.

Values from the calculation:
**Formation energy (no corrections)**: -0.077 eV per atom
**Calculated volume**: 60 Å³/cell
**Total magnetic moment**: 0.79 μB/atom
**Space-group type**: P4/mmm

Unit cell a=3.853 b=3.853 c=4.050 alpha=90.00 beta=90.00 gamma=90.00
Element x y z (fractional)
Fe 0.000 0.500 0.000
Fe 0.500 0.000 0.000
Mo 0.000 0.000 0.500
Ir 0.500 0.500 0.500
N 0.000 0.000 0.000

- Which value of calculated volume does entry 1 give?
  174 Å³/cell